Entry 1:
Computed, not measured: crystalline TmBeH at its relaxed geometry at the PBE level of DFT.

```
data_TmBeH
_chemical_formula_sum 'Tm2 Be2 H2'
_space_group_name_H-M_alt 'P 1'
_space_group_IT_number 1
_cell_length_a 6.271
_cell_length_b 6.271
_cell_length_c 6.271
_cell_angle_alpha 36.56
_cell_angle_beta 36.56
_cell_angle_gamma 36.56
loop_
_space_group_symop_operation_xyz
'x,y,z'
loop_
_atom_site_label
_atom_site_type_symbol
_atom_site_fract_x
_atom_site_fract_y
_atom_site_fract_z
Tm1 Tm 0.094 0.094 0.094
Tm2 Tm 0.906 0.906 0.906
Be1 Be 0.326 0.326 0.326
Be2 Be 0.674 0.674 0.674
H1 H 0.232 0.232 0.232
H2 H 0.768 0.768 0.768
```

Its density of states at the Fermi level is 0.3452 states/eV/atom. The final energy is -4.125 eV/atom.

=====

Entry 2:
Computed, not measured: crystalline HoErCd2 at its relaxed geometry at the PBE level of DFT.

```
data_HoErCd2
_chemical_formula_sum 'Ho1 Er1 Cd2'
_space_group_name_H-M_alt 'P 1'
_space_group_IT_number 1
_cell_length_a 5.260
_cell_length_b 5.260
_cell_length_c 5.260
_cell_angle_alpha 60.00
_cell_angle_beta 60.00
_cell_angle_gamma 60.00
loop_
_space_group_symop_operation_xyz
'x,y,z'
loop_
_atom_site_label
_atom_site_type_symbol
_atom_site_fract_x
_atom_site_fract_y
_atom_site_fract_z
Ho1 Ho 0.000 0.000 0.000
Er1 Er 0.500 0.500 0.500
Cd1 Cd 0.250 0.250 0.250
Cd2 Cd 0.750 0.750 0.750
```

Its formation energy from the elements is -0.3205 eV per atom. The energy above the most stable polymorph in this dataset comes out at 0.0000 eV/atom. Its density of states at the Fermi level is 0.8220 states/eV/atom. The final energy is -3.063 eV/atom.

=====

Entry 3:
Computed, not measured: crystalline NbV2In at its relaxed geometry at the PBE level of DFT.

```
data_NbV2In
_chemical_formula_sum 'Nb1 V2 In1'
_space_group_name_H-M_alt 'P 1'
_space_group_IT_number 1
_cell_length_a 3.285
_cell_length_b 3.285
_cell_length_c 6.240
_cell_angle_alpha 90.00
_cell_angle_beta 90.00
_cell_angle_gamma 90.00
loop_
_space_group_symop_operation_xyz
'x,y,z'
loop_
_atom_site_label
_atom_site_type_symbol
_atom_site_fract_x
_atom_site_fract_y
_atom_site_fract_z
Nb1 Nb 0.000 0.000 0.000
V1 V 0.500 0.500 0.217
V2 V 0.500 0.500 0.783
In1 In 0.000 0.000 0.500
```

Its formation energy from the elements is 0.0368 eV per atom. Its density of states at the Fermi level is 0.8239 states/eV/atom. The final energy is -7.725 eV/atom.